VASP calculation (meta-GGA SCAN) on a PBEsol-optimized structure of SrLi2La.

Unit cell a=5.5106 b=5.5106 c=5.5106 alpha=60.00 beta=60.00 gamma=60.00
Closest atoms and distances in Å follow each position.
Positions (direct):
La 0.5000 0.5000 0.5000  4 Li 3.37, 4 Sr 3.37
Li 0.0000 0.0000 0.0000  4 Li 3.37, 4 Sr 3.37
Li 0.7500 0.7500 0.7500  4 La 3.37, 4 Li 3.37
Sr 0.2500 0.2500 0.2500  4 La 3.37, 4 Li 3.37

symmetry	F-43m (216)
Fermi-level density of states	3.803	states/eV per cell
energy of formation from the pure elements	0.259	eV per atom
polymorph energy (0 for the lowest one)	0.136	eV/atom



VASP calculation (meta-GGA SCAN) on a PBEsol-optimized structure of Sr2LiLa.

Unit cell a=3.8476 b=3.8476 c=10.5438 alpha=90.00 beta=90.00 gamma=90.13
Closest atoms and distances in Å follow each position.
Positions (direct):
La 0.5000 0.5000 0.5000  4 La 3.85, 8 Sr 3.95-3.96
Li 0.5000 0.5000 0.0000  8 Sr 3.63, 4 Li 3.85
Sr 0.0000 0.0000 0.2278  4 Li 3.63, 4 Sr 3.85, 4 La 3.95-3.96
Sr 0.0000 0.0000 0.7722  4 Li 3.63, 4 Sr 3.85, 4 La 3.95-3.96

symmetry	Cmmm (65)
Fermi-level density of states	4.642	states/eV per cell
energy of formation from the pure elements	0.123	eV per atom
polymorph energy (0 for the lowest one)	0.000	eV/atom



VASP calculation (meta-GGA SCAN) on a PBEsol-optimized structure of LiLa2Ta.

Unit cell a=3.1088 b=5.5830 c=6.0744 alpha=111.23 beta=90.00 gamma=90.00
Closest atoms and distances in Å follow each position.
Positions (direct):
La 0.0000 0.0000 0.0000  2 Ta 3.04, 2 La 3.11, 4 Li 3.20
La 0.5000 0.5000 0.5000  2 Li 3.04, 2 La 3.11, 4 Ta 3.20
Li 0.5000 0.5000 0.0000  6 La 3.04-3.20, 2 Li 3.11
Ta 0.0000 0.0000 0.5000  6 La 3.04-3.20, 2 Ta 3.11

symmetry	P2/m (10)
Fermi-level density of states	3.230	states/eV per cell
energy of formation from the pure elements	0.550	eV per atom
polymorph energy (0 for the lowest one)	0.079	eV/atom



VASP calculation (meta-GGA SCAN) on a PBEsol-optimized structure of LiLa2Ta.

Unit cell a=3.3419 b=5.3732 c=6.2602 alpha=115.41 beta=105.48 gamma=90.00
Closest atoms and distances in Å follow each position.
Positions (direct):
La 0.9889 0.9889 0.9779  4 Li 3.18, 2 Ta 3.25, 4 La 3.34-3.37
La 0.7596 0.2596 0.5191  4 Ta 3.18, 2 Li 3.28, 4 La 3.34-3.37
Li 0.5207 0.5207 0.0414  2 Ta 2.82
Ta 0.2308 0.7308 0.4616  2 Li 2.82

symmetry	Imm2 (44)
Fermi-level density of states	4.407	states/eV per cell
energy of formation from the pure elements	0.471	eV per atom
polymorph energy (0 for the lowest one)	0.000	eV/atom



VASP calculation (meta-GGA SCAN) on a PBEsol-optimized structure of LiLaTc2.

Unit cell a=4.5785 b=4.5785 c=4.5785 alpha=90.11 beta=119.94 gamma=119.94
Closest atoms and distances in Å follow each position.
Positions (direct):
La 0.0000 0.5000 0.5000  4 Li 2.80, 4 Tc 2.80
Li 0.5000 0.2500 0.7500  4 Tc 2.80, 4 La 2.80
Tc 0.0000 0.0000 0.0000  4 Li 2.80, 4 Tc 2.80
Tc 0.5000 0.7500 0.2500  4 La 2.80, 4 Tc 2.80

symmetry	I-4m2 (119)
Fermi-level density of states	3.300	states/eV per cell
energy of formation from the pure elements	0.383	eV per atom
polymorph energy (0 for the lowest one)	0.000	eV/atom



VASP calculation (meta-GGA SCAN) on a PBEsol-optimized structure of LiLa2Tc.

Unit cell a=3.4805 b=3.4805 c=8.5824 alpha=90.00 beta=90.00 gamma=89.82
Closest atoms and distances in Å follow each position.
Positions (direct):
La 0.0000 0.0000 0.1992  4 Tc 2.99-3.00
La 0.0000 0.0000 0.8008  4 Tc 2.99-3.00
Tc 0.5000 0.5000 0.0000  8 La 2.99-3.00
Li 0.5000 0.5000 0.5000  4 Li 3.48, 8 La 3.56-3.57

symmetry	Cmmm (65)
Fermi-level density of states	2.442	states/eV per cell
energy of formation from the pure elements	0.039	eV per atom



VASP calculation (meta-GGA SCAN) on a PBEsol-optimized structure of LiLaTc2.

Unit cell a=2.9421 b=4.8540 c=5.4000 alpha=114.30 beta=102.11 gamma=98.01
Closest atoms and distances in Å follow each position.
Positions (direct):
La 0.0000 0.5000 0.0000  2 Li 2.66, 4 Tc 2.79, 2 La 2.94
Li 0.5000 0.0000 0.0000  2 La 2.66, 4 Tc 2.79, 2 Li 2.94
Tc 0.5000 0.5000 0.5000  4 Tc 2.66-2.94, 2 Li 2.79, 2 La 2.79
Tc 0.0000 0.0000 0.5000  4 Tc 2.66-2.94, 2 Li 2.79, 2 La 2.79

symmetry	C2/m (12)
Fermi-level density of states	3.933	states/eV per cell
energy of formation from the pure elements	0.481	eV per atom
polymorph energy (0 for the lowest one)	0.098	eV/atom



VASP calculation (meta-GGA SCAN) on a PBEsol-optimized structure of LiLaTc2.

Unit cell a=2.7900 b=2.7900 c=10.3433 alpha=82.25 beta=82.25 gamma=60.00
Closest atoms and distances in Å follow each position.
Positions (direct):
La 0.5000 0.5000 0.5000  6 La 2.79
Li 0.0000 0.0000 0.0000  6 Li 2.79, 6 Tc 2.82
Tc 0.2578 0.2578 0.2266  6 Tc 2.79, 3 Li 2.82
Tc 0.7422 0.7422 0.7734  6 Tc 2.79, 3 Li 2.82

symmetry	R-3m (166)
Fermi-level density of states	3.694	states/eV per cell
energy of formation from the pure elements	0.762	eV per atom
polymorph energy (0 for the lowest one)	0.379	eV/atom